Computed, not measured: a relaxed structure of ZnCd2TcSn at the PBE-GGA level of DFT.

a = 5.3347 Å, b = 5.0949 Å, c = 5.3347 Å
α = 90.00°, β = 90.00°, γ = 90.00°
Fractional positions:
1 Tc 0.0000 0.0000 0.0000
2 Zn 0.5000 0.5000 0.5000
3 Sn 0.0000 0.5000 0.0000
4 Cd 0.0000 0.0000 0.5000
5 Cd 0.5000 0.0000 0.0000

Results
The calculated volume is 145 Å³/f.u. The total energy comes out at -2.85 eV per atom. Its crystal system is tetragonal. For the energy relative to the elements, the calculation gives 3.21 eV per formula unit.



Computed, not measured: a relaxed structure of CdSnTe2 at the PBE-GGA level of DFT.

a = 7.5710 Å, b = 7.5710 Å, c = 7.5710 Å
α = 34.28°, β = 34.28°, γ = 34.28°
Fractional positions:
1 Cd 0.0000 0.0000 0.0000
2 Sn 0.5000 0.5000 0.5000
3 Te 0.2544 0.2544 0.2544
4 Te 0.7456 0.7456 0.7456

Results
The calculated volume is 123 Å³/f.u. As for the raw formation energy: -27.0 kJ per mole of atoms. The total energy comes out at -3.08 eV per atom. Its crystal system is trigonal.



no.,calculated density (g cm⁻³)
1,5.81
2,6.58